Record 1
Density functional theory data (PBE-GGA) for a relaxed structure of Zr2SbIr.

Unit cell a=4.0669 b=5.6887 c=5.6887 alpha=40.08 beta=90.00 gamma=90.00
Last column: nearest neighbours and their distance in Å.
Fractional coordinates of all 4 atoms:
Zr 0.0000 0.0000 0.0000  4 Ir 2.85, 3 Sb 2.99-3.06
Zr 0.5000 0.2958 0.2958  1 Ir 2.63, 4 Sb 2.93
Sb 0.0000 0.7205 0.7205  2 Ir 2.79, 7 Zr 2.93-3.06
Ir 0.5000 0.5422 0.5422  5 Zr 2.63-2.85, 2 Sb 2.79

## Properties
- Formation energy without anion corrections: -2.65 eV per formula unit
- Density: 9.7 Mg/m³
- Crystal system: orthorhombic

=====

Record 2
Density functional theory data (PBE-GGA) for a relaxed structure of ZrSbIr2.

Unit cell a=3.2395 b=3.7681 c=5.9624 alpha=90.00 beta=90.00 gamma=90.00
Last column: nearest neighbours and their distance in Å.
Fractional coordinates of all 4 atoms:
Zr 0.0000 0.0000 0.0000  8 Ir 2.87, 2 Sb 2.98
Sb 0.0000 0.0000 0.5000  8 Ir 2.93, 2 Zr 2.98, 2 Sb 3.24
Ir 0.5000 0.5000 0.2409  4 Zr 2.87, 2 Ir 2.87-3.09, 4 Sb 2.93
Ir 0.5000 0.5000 0.7591  4 Zr 2.87, 2 Ir 2.87-3.09, 4 Sb 2.93

## Properties
- Formation energy without anion corrections: -1.57 eV per formula unit
- Density: 13.6 Mg/m³
- Crystal system: orthorhombic

=====

Record 3
Density functional theory data (PBE-GGA) for a relaxed structure of ZrSbIr2.

Unit cell a=4.2253 b=4.2253 c=3.9711 alpha=90.00 beta=90.00 gamma=90.00
Last column: nearest neighbours and their distance in Å.
Fractional coordinates of all 4 atoms:
Zr 0.0000 0.0000 0.0000  8 Ir 2.90, 4 Sb 2.99
Sb 0.5000 0.5000 0.0000  8 Ir 2.90, 4 Zr 2.99
Ir 0.0000 0.5000 0.5000  4 Sb 2.90, 4 Zr 2.90, 4 Ir 2.99
Ir 0.5000 0.0000 0.5000  4 Sb 2.90, 4 Zr 2.90, 4 Ir 2.99

## Properties
- Formation energy without anion corrections: -1.68 eV per formula unit
- Density: 14.0 Mg/m³
- Crystal system: tetragonal